[1]
This record from Alexandria via LeMat-Bulk describes a geometry-optimized Hg2PBr structure. The functional is GGA-PBE.

Cell lengths 6.2428, 6.2428, 12.9621 Å; angles 90.00, 90.00, 90.00 degrees
Closest atoms and distances in Å follow each position.
Space group I-42d (No. 122)
Inequivalent atoms, fractional coordinates:
1 Hg 0.1598 0.2500 0.1250  2 P 2.46
2 P 0.0000 0.0000 0.0000  4 Hg 2.46
3 Br 0.0000 0.0000 0.5000  4 Hg 3.09

Formation energy (no corrections): -0.146 eV per atom
Polymorph energy (0 for the lowest one): 1.12 kcal/mol of atoms
Crystal system: tetragonal


[2]
This record from Alexandria via LeMat-Bulk describes a geometry-optimized Y2Mg2Bi structure. The functional is GGA-PBE.

Cell lengths 8.0612, 8.0612, 4.8167 Å; angles 90.00, 90.00, 90.00 degrees
Closest atoms and distances in Å follow each position.
Space group P4/mbm (No. 127)
Inequivalent atoms, fractional coordinates:
1 Y 0.1563 0.3437 0.0000  2 Bi 3.04, 6 Mg 3.35-3.39
2 Mg 0.1395 0.6395 0.5000  1 Mg 3.18, 6 Y 3.35-3.39
3 Bi 0.0000 0.0000 0.0000  4 Y 3.04

Formation energy from the elements: -0.096 eV/atom
Polymorph energy (0 for the lowest one): 3.04 kcal/mol of atoms
Crystal system: tetragonal


[3]
This record from Alexandria via LeMat-Bulk describes a geometry-optimized VReSn2 structure. The functional is GGA-PBE.

Cell lengths 4.0238, 4.0238, 19.4957 Å; angles 90.00, 90.00, 90.00 degrees
Closest atoms and distances in Å follow each position.
Space group I-42d (No. 122)
Inequivalent atoms, fractional coordinates:
1 V 0.0000 0.0000 0.0000  4 Sn 2.82, 4 Re 2.85
2 Re 0.0000 0.0000 0.5000  4 Sn 2.83, 4 V 2.85
3 Sn 0.2468 0.2500 0.1250  2 V 2.82, 2 Re 2.83, 4 Sn 2.83-2.86

Formation energy from the elements: 0.755 eV/atom
Polymorph energy (0 for the lowest one): 8.93 kcal/mol of atoms
Crystal system: tetragonal


[4]
This record from Alexandria via LeMat-Bulk describes a geometry-optimized PrSm2Dy4 structure. The functional is GGA-PBE.

Cell lengths 6.1226, 6.6271, 11.6728 Å; angles 90.00, 104.20, 90.00 degrees
Closest atoms and distances in Å follow each position.
Space group P2_1/m (No. 11)
Inequivalent atoms, fractional coordinates:
1 Pr 0.0358 0.2500 0.3623  2 Sm 3.35-3.41, 6 Dy 3.36-3.49
2 Sm 0.1563 0.2500 0.9507  9 Dy 3.31-3.56
3 Sm 0.3990 0.7500 0.5104  2 Pr 3.35-3.41, 3 Dy 3.46-3.67, 2 Sm 3.57
4 Dy 0.1462 0.2500 0.6656  2 Sm 3.31-3.46, 3 Pr 3.44-3.49, 2 Dy 3.48
5 Dy 0.2835 0.7500 0.9235  4 Sm 3.37-3.44, 1 Pr 3.43, 4 Dy 3.51-3.65
6 Dy 0.3452 0.5083 0.2106  4 Dy 3.20-3.51, 1 Pr 3.36, 2 Sm 3.43-3.56

Formation energy from the elements: 0.121 eV/atom
Polymorph energy (0 for the lowest one): 0.00 kcal/mol of atoms
Crystal system: monoclinic


[5]
This record from Alexandria via LeMat-Bulk describes a geometry-optimized Dy2ZnRuC structure. The functional is GGA-PBE.

Cell lengths 4.9607, 4.9607, 3.8935 Å; angles 90.00, 90.00, 90.00 degrees
Closest atoms and distances in Å follow each position.
Space group P4/mmm (No. 123)
Inequivalent atoms, fractional coordinates:
1 Dy 0.0000 0.5000 0.0000  2 C 2.48
2 Zn 0.0000 0.0000 0.5000  8 Dy 3.15, 4 Ru 3.51
3 Ru 0.5000 0.5000 0.5000  2 C 1.95
4 C 0.5000 0.5000 0.0000  2 Ru 1.95

Formation energy from the elements: -0.394 eV/atom
Crystal system: tetragonal


[6]
This record from Alexandria via LeMat-Bulk describes a geometry-optimized PrHo12Sc6 structure. The functional is GGA-PBE.

Cell lengths 10.4152, 10.4152, 10.4152 Å; angles 90.00, 90.00, 90.00 degrees
Closest atoms and distances in Å follow each position.
Space group Im-3 (No. 204)
Inequivalent atoms, fractional coordinates:
1 Pr 0.0000 0.0000 0.0000  12 Ho 3.46
2 Ho 0.0000 0.2670 0.1975  1 Sc 2.97
3 Sc 0.0000 0.1374 0.5000  1 Sc 2.86, 2 Ho 2.97

Formation energy from the elements: 0.248 eV/atom
Polymorph energy (0 for the lowest one): 0.00 kcal/mol of atoms
Crystal system: cubic


[7]
This record from Alexandria via LeMat-Bulk describes a geometry-optimized Tb4Dy4Ho3 structure. The functional is GGA-PBE.

Cell lengths 3.5609, 9.2858, 21.4554 Å; angles 90.00, 90.00, 90.00 degrees
Closest atoms and distances in Å follow each position.
Space group Immm (No. 71)
Inequivalent atoms, fractional coordinates:
1 Tb 0.0000 0.1788 0.1439  3 Tb 3.32-3.56, 4 Dy 3.34-3.64, 2 Ho 3.55
2 Dy 0.0000 0.3160 0.0000  2 Tb 3.34, 6 Ho 3.39-3.43, 3 Dy 3.42-3.56
3 Dy 0.0000 0.5000 0.2413  2 Ho 3.36, 6 Tb 3.46-3.64, 2 Dy 3.56
4 Ho 0.0000 0.0000 0.3914  6 Dy 3.36-3.39, 4 Tb 3.55, 2 Ho 3.56
5 Ho 0.0000 0.5000 0.5000  4 Dy 3.43, 2 Ho 3.56

Formation energy from the elements: 0.129 eV/atom
Polymorph energy (0 for the lowest one): 1.66 kcal/mol of atoms
Crystal system: orthorhombic


[8]
This record from Alexandria via LeMat-Bulk describes a geometry-optimized La2CuW structure. The functional is GGA-PBE.

Cell lengths 7.0409, 7.0409, 7.0409 Å; angles 90.00, 90.00, 90.00 degrees
Closest atoms and distances in Å follow each position.
Space group F-43m (No. 216)
Inequivalent atoms, fractional coordinates:
1 La 0.0000 0.0000 0.0000  4 La 3.05, 4 W 3.05
2 La 0.2500 0.2500 0.2500  4 La 3.05, 4 Cu 3.05
3 Cu 0.0000 0.0000 0.5000  4 La 3.05, 4 W 3.05
4 W 0.2500 0.2500 0.7500  4 La 3.05, 4 Cu 3.05

Formation energy from the elements: 0.633 eV/atom
Polymorph energy (0 for the lowest one): 6.35 kcal/mol of atoms
Crystal system: cubic